1.
DFT (PBE-GGA) results for Sr2GeSe3 after structural relaxation.

Results
- VASP energy: -4.48 eV/atom
- N(E_F): 0.00 states/eV/atom
- E_form (uncorrected): -1411.8 meV/atom

a b c (Å): 7.5269 7.5269 8.6762
angles (deg): 106.75 106.75 48.91
With the nearest neighbours (Å) after each atom.
Sites, in units of the cell vectors:
1 Sr 0.1673 0.1701 0.0842  6 Se 3.10-3.14
2 Sr 0.1701 0.1673 0.5842  6 Se 3.10-3.14
3 Sr 0.8299 0.8327 0.4158  6 Se 3.10-3.14
4 Sr 0.8327 0.8299 0.9158  6 Se 3.10-3.14
5 Ge 0.4647 0.5353 0.7500  1 Se 2.58
6 Ge 0.5353 0.4647 0.2500  1 Se 2.58
7 Se 0.0514 0.9486 0.7500  1 Ge 2.58
8 Se 0.3426 0.3446 0.4217  2 Ge 2.98, 4 Sr 3.12-3.14
9 Se 0.3446 0.3426 0.9217  2 Ge 2.98, 4 Sr 3.12-3.14
10 Se 0.6554 0.6574 0.0783  2 Ge 2.98, 4 Sr 3.12-3.14
11 Se 0.6574 0.6554 0.5783  2 Ge 2.98, 4 Sr 3.12-3.14
12 Se 0.9486 0.0514 0.2500  1 Ge 2.58

2.
DFT (PBE-GGA) results for Sb4Ru after structural relaxation.

Results
- VASP energy: -5.21 eV/atom
- N(E_F): 0.14 states/eV/atom
- E_form (uncorrected): -55.7 meV/atom
- Distance to the lowest polymorph of the same formula: 0.0 kJ/mol of atoms

a b c (Å): 7.0867 7.0867 7.3718
angles (deg): 100.00 100.00 127.16
With the nearest neighbours (Å) after each atom.
Sites, in units of the cell vectors:
1 Sb 0.0143 0.4664 0.3071  1 Ru 2.63, 3 Sb 2.81-2.94
2 Sb 0.1950 0.3201 0.8548  2 Ru 2.66-2.72, 1 Sb 2.94
3 Sb 0.3201 0.1950 0.3548  2 Ru 2.66-2.72, 1 Sb 2.94
4 Sb 0.4664 0.0143 0.8071  1 Ru 2.63, 3 Sb 2.81-2.94
5 Sb 0.5336 0.9857 0.1929  1 Ru 2.63, 3 Sb 2.81-2.94
6 Sb 0.6799 0.8050 0.6452  2 Ru 2.66-2.72, 1 Sb 2.94
7 Sb 0.8050 0.6799 0.1452  2 Ru 2.66-2.72, 1 Sb 2.94
8 Sb 0.9857 0.5336 0.6929  1 Ru 2.63, 3 Sb 2.81-2.94
9 Ru 0.4216 0.5784 0.2500  6 Sb 2.63-2.72
10 Ru 0.5784 0.4216 0.7500  6 Sb 2.63-2.72

3.
DFT (PBE-GGA) results for K2Bi2S3 after structural relaxation.

Results
- VASP energy: -3.78 eV/atom
- N(E_F): 0.12 states/eV/atom
- E_form (uncorrected): -586.5 meV/atom

a b c (Å): 14.6315 4.0676 7.5095
angles (deg): 90.00 98.62 90.00
With the nearest neighbours (Å) after each atom.
Sites, in units of the cell vectors:
1 K 0.1288 0.0000 0.3661  4 S 3.09-3.21
2 K 0.3712 0.5000 0.6339  4 S 3.09-3.21
3 K 0.6288 0.5000 0.3661  4 S 3.09-3.21
4 K 0.8712 0.0000 0.6339  4 S 3.09-3.21
5 Bi 0.1213 0.5000 0.8749  4 S 2.75-2.94
6 Bi 0.3787 0.0000 0.1251  4 S 2.75-2.94
7 Bi 0.6213 0.0000 0.8749  4 S 2.75-2.94
8 Bi 0.8787 0.5000 0.1251  4 S 2.75-2.94
9 S 0.0000 0.0000 0.0000  4 Bi 2.94, 2 K 3.09
10 S 0.2302 0.0000 0.7754  2 Bi 2.75
11 S 0.2698 0.5000 0.2246  2 Bi 2.75
12 S 0.5000 0.5000 0.0000  4 Bi 2.94, 2 K 3.09
13 S 0.7302 0.5000 0.7754  2 Bi 2.75
14 S 0.7698 0.0000 0.2246  2 Bi 2.75

4.
DFT (PBE-GGA) results for Zr2BeReH after structural relaxation.

Results
- VASP energy: -6.58 eV/atom
- N(E_F): 0.96 states/eV/atom

a b c (Å): 5.1450 5.1450 3.3115
angles (deg): 90.00 90.00 90.00
With the nearest neighbours (Å) after each atom.
Sites, in units of the cell vectors:
1 Zr 0.0000 0.5000 0.0000  2 Re 2.57
2 Zr 0.5000 0.0000 0.0000  2 Re 2.57
3 Be 0.0000 0.0000 0.5000  8 Zr 3.06, 2 Be 3.31
4 Re 0.5000 0.5000 0.0000  2 H 1.66
5 H 0.5000 0.5000 0.5000  2 Re 1.66

5.
DFT (PBE-GGA) results for MgP2IrO after structural relaxation.

Results
- VASP energy: -5.19 eV/atom
- N(E_F): 1.04 states/eV/atom
- E_form (uncorrected): 58.3 meV/atom
- Distance to the lowest polymorph of the same formula: 16.5 kJ/mol of atoms

a b c (Å): 4.9117 4.9117 3.6915
angles (deg): 90.00 90.00 90.00
With the nearest neighbours (Å) after each atom.
Sites, in units of the cell vectors:
1 Mg 0.0000 0.0000 0.0000  8 P 3.07
2 P 0.0000 0.5000 0.5000  2 Ir 2.46
3 P 0.5000 0.0000 0.5000  2 Ir 2.46
4 Ir 0.5000 0.5000 0.5000  2 O 1.85
5 O 0.5000 0.5000 0.0000  2 Ir 1.85

6.
DFT (PBE-GGA) results for Ga2AgIrRu after structural relaxation.

Results
- VASP energy: -3.87 eV/atom
- N(E_F): 1.15 states/eV/atom
- Formation enthalpy at 0 K: 1.5334 eV per atom
- Distance to the lowest polymorph of the same formula: 38.9 kJ/mol of atoms

a b c (Å): 4.5820 4.5820 5.0146
angles (deg): 90.00 90.00 90.00
With the nearest neighbours (Å) after each atom.
Sites, in units of the cell vectors:
1 Ga 0.0000 0.5000 0.0000  2 Ag 2.29
2 Ga 0.5000 0.0000 0.0000  2 Ag 2.29
3 Ag 0.0000 0.0000 0.0000  4 Ga 2.29, 2 Ru 2.51
4 Ir 0.5000 0.5000 0.5000  4 Ru 3.24, 8 Ga 3.40
5 Ru 0.0000 0.0000 0.5000  2 Ag 2.51

7.
DFT (PBE-GGA) results for TcPbW after structural relaxation.

Results
- VASP energy: -8.45 eV/atom
- N(E_F): 1.06 states/eV/atom
- Formation enthalpy at 0 K: 0.5622 eV per atom
- Distance to the lowest polymorph of the same formula: 3.9 kJ/mol of atoms

a b c (Å): 3.1103 3.1103 11.7924
angles (deg): 90.00 90.00 90.00
With the nearest neighbours (Å) after each atom.
Sites, in units of the cell vectors:
1 Tc 0.0000 0.0000 0.0000  4 W 2.60
2 Tc 0.5000 0.5000 0.5000  4 W 2.60
3 Pb 0.0000 0.0000 0.6878  4 Pb 3.11, 4 Tc 3.12, 4 W 3.18
4 Pb 0.5000 0.5000 0.1878  4 Pb 3.11, 4 Tc 3.12, 4 W 3.18
5 W 0.0000 0.0000 0.3824  4 Tc 2.60
6 W 0.5000 0.5000 0.8824  4 Tc 2.60

8.
DFT (PBE-GGA) results for YAgP2 after structural relaxation.

Results
- VASP energy: -5.66 eV/atom
- N(E_F): 0.12 states/eV/atom
- Formation enthalpy at 0 K: -0.6229 eV per atom

a b c (Å): 10.8768 4.0765 3.9458
angles (deg): 90.00 108.11 90.00
With the nearest neighbours (Å) after each atom.
Sites, in units of the cell vectors:
1 Y 0.0000 0.0000 0.0000  6 P 2.80-2.94
2 Y 0.5000 0.5000 0.0000  6 P 2.80-2.94
3 Ag 0.2394 0.5000 0.2695  3 P 2.48-2.54
4 Ag 0.7394 0.0000 0.2695  3 P 2.48-2.54
5 P 0.0629 0.5000 0.5659  1 P 2.27, 1 Ag 2.54
6 P 0.3575 0.0000 0.1871  1 P 2.27, 2 Ag 2.48
7 P 0.5629 0.0000 0.5659  1 P 2.27, 1 Ag 2.54
8 P 0.8575 0.5000 0.1871  1 P 2.27, 2 Ag 2.48